Run w
Computed, not measured: crystalline LiBeNb at its relaxed geometry at the PBE level of DFT.

Structure (POSCAR):
```
LiBeNb
1.0
13.555 0.000 -0.102
4.994 1.386 -2.165
-4.994 1.386 2.165
Li Nb Be
2 2 2
Cartesian
4.360 1.386 1.972
9.195 1.386 -2.074
6.778 1.386 -0.051
0.000 0.000 0.000
2.256 1.386 -0.193
11.299 1.386 0.092
```

total magnetic moment	0.00	μB per formula unit
ρ	4.52	Mg/m³
V	80	Å³/cell



Run x
Computed, not measured: crystalline LiBeNb at its relaxed geometry at the PBE level of DFT.

Structure (POSCAR):
```
LiBeNb
1.0
12.118 0.000 -0.002
0.646 1.969 -1.861
-0.646 1.969 1.861
Be Li Nb
2 2 2
Cartesian
5.116 1.969 0.683
1.847 1.969 -0.455
7.262 1.969 -0.659
10.078 1.969 -1.799
4.163 1.969 -1.734
11.744 1.969 0.858
```

total magnetic moment	0.00	μB per formula unit
ρ	4.07	Mg/m³
V	89	Å³/cell



Run y
Computed, not measured: crystalline LiBeNb at its relaxed geometry at the PBE level of DFT.

Structure (POSCAR):
```
LiBeNb
1.0
3.687 -2.129 0.000
0.000 4.258 0.000
0.000 0.000 5.054
Be Nb Li
2 2 2
Cartesian
1.229 2.129 3.791
2.458 0.000 1.264
2.458 0.000 3.791
1.229 2.129 1.264
0.000 0.000 2.527
0.000 0.000 0.000
```

total magnetic moment	0.00	μB per formula unit
ρ	4.56	Mg/m³
V	79	Å³/cell



Run z
Computed, not measured: crystalline LiBeNb at its relaxed geometry at the PBE level of DFT.

Structure (POSCAR):
```
LiBeNb
1.0
0.000 2.793 2.793
2.793 0.000 2.793
2.793 2.793 0.000
Be Li Nb
1 1 1
Cartesian
0.000 0.000 0.000
1.397 1.397 1.397
4.190 4.190 4.190
```

total magnetic moment	0.00	μB per formula unit
ρ	4.15	Mg/m³
V	44	Å³/cell



run x is favored, and the nearest alternative lies 116 meV/atom above it.



Run w
Computed, not measured: crystalline LiBeNb at its relaxed geometry at the PBE level of DFT.

Structure (POSCAR):
```
LiBeNb
1.0
4.505 0.001 0.013
0.014 2.654 0.006
1.056 -1.117 7.123
Li Nb Be
2 2 2
Cartesian
3.910 1.486 3.617
1.664 0.052 3.526
2.190 1.288 6.249
3.384 0.250 0.894
4.456 0.146 5.700
1.118 1.392 1.443
```

total magnetic moment	0.00	μB per formula unit
ρ	4.25	Mg/m³
V	85	Å³/cell



Run x
Computed, not measured: crystalline LiBeNb at its relaxed geometry at the PBE level of DFT.

Structure (POSCAR):
```
LiBeNb
1.0
3.484 0.000 0.000
0.000 2.734 0.000
0.000 0.000 9.187
Li Nb Be
2 2 2
Cartesian
0.000 1.367 7.140
1.742 0.000 5.462
1.742 0.000 9.087
1.742 0.000 2.701
0.000 1.367 1.292
0.000 1.367 3.988
```

total magnetic moment	0.00	μB per formula unit
ρ	4.13	Mg/m³
V	88	Å³/cell



Run y
Computed, not measured: crystalline LiBeNb at its relaxed geometry at the PBE level of DFT.

Structure (POSCAR):
```
LiBeNb
1.0
5.653 0.000 0.000
0.000 3.821 0.000
0.000 0.000 7.478
Be Nb Li
4 4 4
Cartesian
4.156 2.866 2.328
1.497 0.955 5.150
1.329 2.866 1.411
4.323 0.955 6.067
3.135 2.866 4.760
5.344 0.955 1.021
2.518 0.955 2.718
0.309 2.866 6.457
3.417 2.866 0.125
0.591 2.866 3.614
5.062 0.955 3.864
2.236 0.955 7.353
```

total magnetic moment	0.00	μB per formula unit
ρ	4.48	Mg/m³
V	162	Å³/cell



run w is favored, and the nearest alternative lies 23 meV/atom above it.



Run w
Computed, not measured: crystalline LiBeNb at its relaxed geometry at the PBE level of DFT.

Structure (POSCAR):
```
LiBeNb
1.0
-0.818 3.595 2.723
-2.417 -0.861 0.363
1.991 -2.992 6.282
Li Be Nb
2 2 2
Cartesian
-0.280 0.611 3.192
-1.897 1.979 4.733
0.118 0.785 5.851
1.313 -2.537 6.824
-0.635 -0.942 7.947
-0.354 -1.673 5.090
```

total magnetic moment	0.00	μB per formula unit
ρ	4.25	Mg/m³
V	85	Å³/cell



Run x
Computed, not measured: crystalline LiBeNb at its relaxed geometry at the PBE level of DFT.

Structure (POSCAR):
```
LiBeNb
1.0
-5.180 1.845 5.176
0.695 -2.006 1.411
3.792 2.303 1.406
Be Li Nb
2 2 2
Cartesian
-2.887 2.036 5.468
2.194 0.106 2.524
-1.395 0.187 4.407
0.702 1.956 3.586
-0.249 0.097 1.412
-0.444 2.045 6.580
```

total magnetic moment	0.00	μB per formula unit
ρ	4.15	Mg/m³
V	87	Å³/cell



run w is favored, and the nearest alternative lies 47 meV/atom above it.